Below is a geometry-optimized Li2MoPb3O6 structure, with properties calculated at the PBE+U level.

Output
The space-group type is P-3m1 (164). Its total energy is -5.61 eV/atom.

Unit cell a=5.9039 b=5.9039 c=6.2786 alpha=90.00 beta=90.00 gamma=120.00
With the nearest neighbours (Å) after each atom.
Atoms (fractional coordinates):
Li: 0.3333 0.6667 0.1779  3 O 1.90
Li: 0.6667 0.3333 0.8221  3 O 1.90
Mo: 0.0000 0.0000 0.5000  6 O 2.07
Pb: 0.0000 0.0000 0.0000  6 O 2.61
Pb: 0.3333 0.6667 0.6027  3 O 2.49, 1 Li 2.67
Pb: 0.6667 0.3333 0.3973  3 O 2.49, 1 Li 2.67
O: 0.1670 0.3340 0.3140  1 Li 1.90, 1 Mo 2.07
O: 0.1670 0.8330 0.3140  1 Li 1.90, 1 Mo 2.07
O: 0.3340 0.1670 0.6860  1 Li 1.90, 1 Mo 2.07
O: 0.6660 0.8330 0.3140  1 Li 1.90, 1 Mo 2.07
O: 0.8330 0.1670 0.6860  1 Li 1.90, 1 Mo 2.07
O: 0.8330 0.6660 0.6860  1 Li 1.90, 1 Mo 2.07